# 1
Compound: Ac6Nd2Y5
Source: Alexandria
Functional: PBE
Structure: optimized geometry

a b c (Å): 11.489 23.645 3.767
angles (deg): 90.00 90.00 90.00
Element x y z (fractional)
1 Ac 0.027 0.111 0.000
2 Ac 0.146 0.386 0.000
3 Ac 0.164 0.632 0.500
4 Ac 0.336 0.132 0.500
5 Ac 0.354 0.886 0.000
6 Ac 0.473 0.611 0.000
7 Ac 0.527 0.389 0.000
8 Ac 0.646 0.114 0.000
9 Ac 0.664 0.868 0.500
10 Ac 0.836 0.368 0.500
11 Ac 0.854 0.614 0.000
12 Ac 0.973 0.889 0.000
13 Nd 0.160 0.771 0.000
14 Nd 0.340 0.271 0.000
15 Nd 0.660 0.729 0.000
16 Nd 0.840 0.229 0.000
17 Y 0.000 0.500 0.500
18 Y 0.090 0.249 0.500
19 Y 0.166 0.994 0.500
20 Y 0.334 0.494 0.500
21 Y 0.410 0.749 0.500
22 Y 0.500 0.000 0.500
23 Y 0.590 0.251 0.500
24 Y 0.666 0.506 0.500
25 Y 0.834 0.006 0.500
26 Y 0.910 0.751 0.500

Summary:
Space-group type: Pbam, No. 55
ΔH_f (0 K), meV/atom: 171



# 2
Compound: AcNd2Y5
Source: Alexandria
Functional: PBE
Structure: optimized geometry

a b c (Å): 7.283 20.481 7.329
angles (deg): 90.00 90.00 90.00
Element x y z (fractional)
1 Ac 0.247 0.126 0.000
2 Ac 0.253 0.626 0.000
3 Ac 0.747 0.374 0.000
4 Ac 0.753 0.874 0.000
5 Nd 0.000 0.500 0.254
6 Nd 0.000 0.500 0.746
7 Nd 0.247 0.126 0.500
8 Nd 0.253 0.626 0.500
9 Nd 0.500 0.000 0.254
10 Nd 0.500 0.000 0.746
11 Nd 0.747 0.374 0.500
12 Nd 0.753 0.874 0.500
13 Y 0.000 0.000 0.254
14 Y 0.000 0.000 0.746
15 Y 0.004 0.750 0.254
16 Y 0.004 0.750 0.746
17 Y 0.247 0.375 0.000
18 Y 0.248 0.375 0.500
19 Y 0.252 0.875 0.500
20 Y 0.253 0.875 0.000
21 Y 0.496 0.250 0.254
22 Y 0.496 0.250 0.746
23 Y 0.500 0.500 0.254
24 Y 0.500 0.500 0.746
25 Y 0.504 0.750 0.254
26 Y 0.504 0.750 0.746
27 Y 0.747 0.125 0.000
28 Y 0.748 0.125 0.500
29 Y 0.752 0.625 0.500
30 Y 0.753 0.625 0.000
31 Y 0.996 0.250 0.254
32 Y 0.996 0.250 0.746

Summary:
Space-group type: Pbam, No. 55
ΔH_f (0 K), meV/atom: 22



# 3
Compound: AcNd2Y5
Source: Alexandria
Functional: PBE
Structure: optimized geometry

a b c (Å): 7.291 14.605 5.167
angles (deg): 90.00 90.00 90.00
Element x y z (fractional)
1 Ac 0.000 0.000 0.000
2 Ac 0.500 0.500 0.000
3 Nd 0.244 0.372 0.500
4 Nd 0.256 0.872 0.500
5 Nd 0.744 0.128 0.500
6 Nd 0.756 0.628 0.500
7 Y 0.000 0.500 0.000
8 Y 0.004 0.747 0.000
9 Y 0.249 0.127 0.500
10 Y 0.251 0.627 0.500
11 Y 0.496 0.247 0.000
12 Y 0.500 0.000 0.000
13 Y 0.504 0.753 0.000
14 Y 0.749 0.373 0.500
15 Y 0.751 0.873 0.500
16 Y 0.996 0.253 0.000

Summary:
Space-group type: Pbam, No. 55
ΔH_f (0 K), meV/atom: 31



# 4
Compound: Ac3NdY
Source: Alexandria
Functional: PBE
Structure: optimized geometry

a b c (Å): 10.151 10.151 10.824
angles (deg): 104.63 104.63 21.98
Element x y z (fractional)
1 Ac 0.002 0.002 0.238
2 Ac 0.202 0.202 0.848
3 Ac 0.397 0.397 0.455
4 Ac 0.603 0.603 0.545
5 Ac 0.798 0.798 0.152
6 Ac 0.998 0.998 0.762
7 Nd 0.396 0.396 0.946
8 Nd 0.604 0.604 0.054
9 Y 0.201 0.201 0.351
10 Y 0.799 0.799 0.649

Summary:
Space-group type: C2/m, No. 12
ΔH_f (0 K), meV/atom: 42



# 5
Compound: Ac5Nd2Y6
Source: Alexandria
Functional: PBE
Structure: optimized geometry

a b c (Å): 11.909 21.840 3.787
angles (deg): 90.00 90.00 90.00
Element x y z (fractional)
1 Ac 0.000 0.000 0.000
2 Ac 0.072 0.427 0.000
3 Ac 0.145 0.722 0.000
4 Ac 0.355 0.222 0.000
5 Ac 0.428 0.927 0.000
6 Ac 0.500 0.500 0.000
7 Ac 0.572 0.073 0.000
8 Ac 0.645 0.778 0.000
9 Ac 0.855 0.278 0.000
10 Ac 0.928 0.573 0.000
11 Nd 0.116 0.284 0.500
12 Nd 0.384 0.784 0.500
13 Nd 0.616 0.216 0.500
14 Nd 0.884 0.716 0.500
15 Y 0.084 0.152 0.000
16 Y 0.159 0.882 0.500
17 Y 0.228 0.557 0.500
18 Y 0.272 0.057 0.500
19 Y 0.341 0.382 0.500
20 Y 0.416 0.652 0.000
21 Y 0.584 0.348 0.000
22 Y 0.659 0.618 0.500
23 Y 0.728 0.943 0.500
24 Y 0.772 0.443 0.500
25 Y 0.841 0.118 0.500
26 Y 0.916 0.848 0.000

Summary:
Space-group type: Pbam, No. 55
ΔH_f (0 K), meV/atom: 89



# 6
Compound: Ac7NdY2
Source: Alexandria
Functional: PBE
Structure: optimized geometry

a b c (Å): 9.704 9.704 6.129
angles (deg): 90.00 90.00 116.96
Element x y z (fractional)
1 Ac 0.000 0.000 0.000
2 Ac 0.192 0.439 0.000
3 Ac 0.260 0.740 0.500
4 Ac 0.439 0.192 0.000
5 Ac 0.561 0.808 0.000
6 Ac 0.740 0.260 0.500
7 Ac 0.808 0.561 0.000
8 Nd 0.500 0.500 0.500
9 Y 0.202 0.798 0.000
10 Y 0.798 0.202 0.000

Summary:
Space-group type: Cmmm, No. 65
ΔH_f (0 K), meV/atom: 631



# 7
Compound: AcNd8Y3
Source: Alexandria
Functional: PBE
Structure: optimized geometry

a b c (Å): 9.065 9.065 6.548
angles (deg): 110.52 110.52 59.82
Element x y z (fractional)
1 Ac 0.000 0.000 0.000
2 Nd 0.177 0.087 0.638
3 Nd 0.179 0.329 0.342
4 Nd 0.516 0.140 0.081
5 Nd 0.608 0.252 0.679
6 Nd 0.671 0.821 0.658
7 Nd 0.748 0.392 0.321
8 Nd 0.860 0.484 0.919
9 Nd 0.913 0.823 0.362
10 Y 0.211 0.535 0.903
11 Y 0.365 0.635 0.500
12 Y 0.465 0.789 0.097

Summary:
Space-group type: C2, No. 5
ΔH_f (0 K), meV/atom: 113



# 8
Compound: Ac4Nd4Y
Source: Alexandria
Functional: PBE
Structure: optimized geometry

a b c (Å): 8.513 8.513 8.513
angles (deg): 95.76 95.76 143.05
Element x y z (fractional)
1 Ac 0.166 0.166 0.333
2 Ac 0.166 0.834 0.000
3 Ac 0.834 0.166 0.000
4 Ac 0.834 0.834 0.667
5 Nd 0.162 0.500 0.662
6 Nd 0.500 0.162 0.662
7 Nd 0.500 0.838 0.338
8 Nd 0.838 0.500 0.338
9 Y 0.500 0.500 0.000

Summary:
Space-group type: I4/mmm, No. 139
ΔH_f (0 K), meV/atom: 37